La2GaS after structural relaxation. Source: the Alexandria database, functional PBE.

Cell and atoms, written as CIF:
```
data_La2GaS
_symmetry_space_group_name_H-M 'F m -3 m'
_symmetry_Int_Tables_number 225
_symmetry_space_group_name_Hall '-F 4 2 3'
_cell_length_a 7.584
_cell_length_b 7.584
_cell_length_c 7.584
_cell_angle_alpha 90.00
_cell_angle_beta 90.00
_cell_angle_gamma 90.00
loop_
_atom_site_label
_atom_site_type_symbol
_atom_site_fract_x
_atom_site_fract_y
_atom_site_fract_z
La1 La 0.250 0.250 0.250
Ga1 Ga 0.000 0.000 0.000
S1 S 0.000 0.000 0.500
```

Calculated values
Formation energy (no corrections): -0.878 eV/atom
Total magnetic moment: 0.000 μB/atom
Relative energy among the computed polymorphs: 481 meV per atom


K2ScBiSe4 after structural relaxation. Source: the Alexandria database, functional PBE.

Cell and atoms, written as CIF:
```
data_K2ScBiSe4
_symmetry_space_group_name_H-M 'P 1 2/m 1'
_symmetry_Int_Tables_number 10
_cell_length_a 7.283
_cell_length_b 4.161
_cell_length_c 8.016
_cell_angle_alpha 90.00
_cell_angle_beta 107.19
_cell_angle_gamma 90.00
loop_
_symmetry_equiv_pos_as_xyz
'x,y,z'
'-x,-y,-z'
'-x,y,-z'
'x,-y,z'
loop_
_atom_site_label
_atom_site_type_symbol
_atom_site_fract_x
_atom_site_fract_y
_atom_site_fract_z
K1 K 0.000 0.000 0.000
K2 K 0.500 0.500 0.000
Sc1 Sc 0.000 0.500 0.500
Bi1 Bi 0.500 0.000 0.500
Se1 Se 0.216 0.000 0.697
Se2 Se 0.245 0.500 0.294
```

Calculated values
Formation energy (no corrections): -1.204 eV/atom
Total magnetic moment: 0.000 μB/atom


Y6Ho3Er2In after structural relaxation. Source: the Alexandria database, functional PBE.

Cell and atoms, written as CIF:
```
data_Y6Ho3Er2In
_symmetry_space_group_name_H-M 'C 1 2/m 1'
_symmetry_Int_Tables_number 12
_cell_length_a 6.095
_cell_length_b 10.564
_cell_length_c 11.615
_cell_angle_alpha 90.00
_cell_angle_beta 100.15
_cell_angle_gamma 90.00
loop_
_symmetry_equiv_pos_as_xyz
'x,y,z'
'-x,-y,-z'
'-x,y,-z'
'x,-y,z'
'x+1/2,y+1/2,z'
'-x+1/2,-y+1/2,-z'
'-x+1/2,y+1/2,-z'
'x+1/2,-y+1/2,z'
loop_
_atom_site_label
_atom_site_type_symbol
_atom_site_fract_x
_atom_site_fract_y
_atom_site_fract_z
Y1 Y 0.246 0.164 0.246
Y2 Y 0.247 0.000 0.753
Ho1 Ho 0.000 0.167 0.500
Ho2 Ho 0.000 0.500 0.500
Er1 Er 0.000 0.334 0.000
In1 In 0.000 0.000 0.000
```

Calculated values
Energy: -0.397 Ry per atom
Total magnetic moment: 0.002 μB/atom